VASP calculation (PBE) on Ca2NiMoN after structural relaxation.

a = 5.681 Å, b = 5.681 Å, c = 3.843 Å
α = 90.00°, β = 90.00°, γ = 90.00°
Space group P4/mmm (No. 123)
Unique sites:
Ca (0.000, 0.500, 0.000) [2 per cell]
Ni (0.000, 0.000, 0.500) [1 per cell]
Mo (0.500, 0.500, 0.000) [1 per cell]
N (0.500, 0.500, 0.500) [1 per cell]

Properties
Calculated density ... 3.3 g/cm3
V ... 124.0 Å³/cell
ΔE_f (raw) ... 0.71 eV/atom
Crystal system ... tetragonal
DOS(E_F) ... 5.0 states/eV/cell

=====

VASP calculation (PBE) on BaAlAs after structural relaxation.

a = 4.3228 Å, b = 4.3228 Å, c = 5.4466 Å
α = 90.00°, β = 90.00°, γ = 120.00°
Space group P3m1 (No. 156)
Unique sites:
Ba (0.0000, 0.0000, 0.0000) [1 per cell]
Al (0.6667, 0.3333, 0.4182) [1 per cell]
As (0.3333, 0.6667, 0.5751) [1 per cell]

Properties
Calculated density ... 4.5 g/cm3
V ... 88.1 Å³/cell
ΔH_f (0 K) ... -0.63 eV per atom
Crystal system ... trigonal
DOS(E_F) ... 0.5 states/eV/cell

=====

VASP calculation (PBE) on ZrTc2P after structural relaxation.

a = 9.079 Å, b = 3.109 Å, c = 4.805 Å
α = 90.00°, β = 111.93°, γ = 90.00°
Space group C2/m (No. 12)
Unique sites:
Zr (0.000, 0.000, 0.000) [2 per cell]
Tc (0.218, 0.000, 0.702) [4 per cell]
P (0.000, 0.500, 0.500) [2 per cell]

Properties
Calculated density ... 8.4 g/cm3
V ... 125.8 Å³/cell
ΔH_f (0 K) ... -0.35 eV per atom
Crystal system ... monoclinic
DOS(E_F) ... 5.1 states/eV/cell

=====

VASP calculation (PBE) on ZnINO2 after structural relaxation.

a = 3.590 Å, b = 3.590 Å, c = 7.720 Å
α = 90.00°, β = 90.00°, γ = 90.00°
Space group P4/mmm (No. 123)
Unique sites:
Zn (0.000, 0.000, 0.000) [1 per cell]
I (0.000, 0.000, 0.500) [1 per cell]
N (0.500, 0.500, 0.500) [1 per cell]
O (0.000, 0.500, 0.000) [2 per cell]

Properties
Calculated density ... 4.0 g/cm3
V ... 99.5 Å³/cell
ΔE_f (raw) ... 0.89 eV/atom
Crystal system ... tetragonal
DOS(E_F) ... 5.8 states/eV/cell

=====

VASP calculation (PBE) on SrSm4Bi5 after structural relaxation.

a = 4.579 Å, b = 6.524 Å, c = 23.207 Å
α = 90.00°, β = 90.00°, γ = 90.00°
Space group Immm (No. 71)
Unique sites:
Sr (0.000, 0.000, 0.000) [2 per cell]
Sm (0.000, 0.000, 0.202) [4 per cell]
Sm (0.000, 0.000, 0.401) [4 per cell]
Bi (0.000, 0.500, 0.000) [2 per cell]
Bi (0.000, 0.500, 0.199) [4 per cell]
Bi (0.000, 0.500, 0.393) [4 per cell]

Properties
Calculated density ... 8.3 g/cm3
V ... 693.2 Å³/cell
ΔH_f (0 K) ... -0.87 eV per atom
Crystal system ... orthorhombic
DOS(E_F) ... 8.4 states/eV/cell

=====

VASP calculation (PBE) on Sr2CoAgC after structural relaxation.

a = 5.545 Å, b = 5.545 Å, c = 3.656 Å
α = 90.00°, β = 90.00°, γ = 90.00°
Space group P4/mmm (No. 123)
Unique sites:
Sr (0.000, 0.500, 0.000) [2 per cell]
Co (0.000, 0.000, 0.500) [1 per cell]
Ag (0.500, 0.500, 0.500) [1 per cell]
C (0.000, 0.000, 0.000) [1 per cell]

Properties
Calculated density ... 5.2 g/cm3
V ... 112.4 Å³/cell
ΔH_f (0 K) ... 0.00 eV per atom
Crystal system ... tetragonal
DOS(E_F) ... 1.6 states/eV/cell

=====

VASP calculation (PBE) on Zn3Ni4 after structural relaxation.

a = 10.7557 Å, b = 10.7557 Å, c = 4.9911 Å
α = 90.00°, β = 90.00°, γ = 120.00°
Space group R-3 (No. 148, hexagonal axes)
Unique sites:
Zn (0.0466, 0.8114, 0.1697) [18 per cell]
Ni (0.0000, 0.0000, 0.0000) [3 per cell]
Ni (0.0000, 0.0000, 0.5000) [3 per cell]
Ni (0.0472, 0.8095, 0.6651) [18 per cell]

Properties
Calculated density ... 8.6 g/cm3
V ... 500.0 Å³/cell
ΔH_f (0 K) ... -0.19 eV per atom
Crystal system ... trigonal
DOS(E_F) ... 23.8 states/eV/cell

=====

VASP calculation (PBE) on MgAl2Ru after structural relaxation.

a = 3.951 Å, b = 3.951 Å, c = 7.794 Å
α = 90.00°, β = 90.00°, γ = 90.00°
Space group I4/mmm (No. 139)
Unique sites:
Mg (0.000, 0.000, 0.000) [2 per cell]
Al (0.000, 0.500, 0.250) [4 per cell]
Ru (0.000, 0.000, 0.500) [2 per cell]

Properties
Calculated density ... 4.9 g/cm3
V ... 121.6 Å³/cell
ΔH_f (0 K) ... -0.34 eV per atom
Crystal system ... tetragonal
DOS(E_F) ... 4.3 states/eV/cell